one:
A relaxed structure of AcDy2Er, computed with PBE.

Unit cell a=5.183 b=5.136 c=5.136 alpha=90.00 beta=90.00 gamma=90.00
Fractional coordinates of all 4 atoms:
Ac (0.500, 0.000, 0.000)
Dy (0.000, 0.000, 0.500)
Dy (0.000, 0.500, 0.000)
Er (0.500, 0.500, 0.500)

Results
Size of the total moment: 0.00 μB per atom
Space group: P4/mmm

***

two:
A relaxed structure of AcDy2Er, computed with PBE.

Unit cell a=3.671 b=3.671 c=11.955 alpha=81.17 beta=81.17 gamma=60.00
Fractional coordinates of all 4 atoms:
Ac (0.500, 0.500, 0.499)
Dy (0.079, 0.079, 0.763)
Dy (0.254, 0.254, 0.237)
Er (0.666, 0.666, 0.001)

Results
Size of the total moment: 0.00 μB per atom
Space group: R3m

***

three:
A relaxed structure of AcDy2Er, computed with PBE.

Unit cell a=5.806 b=5.806 c=5.806 alpha=60.00 beta=60.00 gamma=60.00
Fractional coordinates of all 4 atoms:
Ac (0.500, 0.500, 0.500)
Dy (0.250, 0.250, 0.250)
Dy (0.750, 0.750, 0.750)
Er (0.000, 0.000, 0.000)

Results
Size of the total moment: 0.00 μB per atom
Space group: Fm-3m

***

Energy above the most stable structure, in eV/atom: one 0.000; two 0.005; three 0.084

***

one:
A relaxed structure of AcDy2Er, computed with PBE.

Unit cell a=3.566 b=3.566 c=12.793 alpha=81.99 beta=81.99 gamma=60.00
Fractional coordinates of all 4 atoms:
Ac (0.000, 0.000, 0.000)
Dy (0.093, 0.093, 0.721)
Dy (0.907, 0.907, 0.279)
Er (0.500, 0.500, 0.500)

Results
Size of the total moment: 0.00 μB per atom
Space group: R-3m

***

two:
A relaxed structure of AcDy2Er, computed with PBE.

Unit cell a=3.669 b=3.669 c=10.190 alpha=90.00 beta=90.00 gamma=90.00
Fractional coordinates of all 4 atoms:
Ac (0.500, 0.500, 0.500)
Dy (0.000, 0.000, 0.765)
Dy (0.000, 0.000, 0.235)
Er (0.500, 0.500, 0.000)

Results
Size of the total moment: 0.00 μB per atom
Space group: P4/mmm

***

Energy above the most stable structure, in eV/atom: one 0.121; two 0.000

***

one:
A relaxed structure of AcDyEr4, computed with PBE.

Unit cell a=9.849 b=5.687 c=6.984 alpha=90.02 beta=90.00 gamma=90.00
Fractional coordinates of all 12 atoms:
Ac (0.500, 0.500, 0.000)
Ac (0.000, 0.000, 0.000)
Dy (0.000, 0.000, 0.500)
Dy (0.500, 0.500, 0.500)
Er (0.833, 0.501, 0.258)
Er (0.667, 0.001, 0.258)
Er (0.167, 0.500, 0.258)
Er (0.667, 0.000, 0.742)
Er (0.333, 0.000, 0.258)
Er (0.833, 0.500, 0.742)
Er (0.333, 0.999, 0.742)
Er (0.167, 0.499, 0.742)

Results
Size of the total moment: 0.00 μB per atom
Space group: P6/mmm

***

two:
A relaxed structure of AcDyEr4, computed with PBE.

Unit cell a=9.003 b=6.659 c=8.497 alpha=109.74 beta=119.32 gamma=95.86
Fractional coordinates of all 12 atoms:
Ac (0.425, 0.675, 0.351)
Ac (0.575, 0.325, 0.649)
Dy (0.691, 0.941, 0.883)
Dy (0.309, 0.059, 0.117)
Er (0.238, 0.993, 0.657)
Er (0.981, 0.736, 0.133)
Er (0.081, 0.336, 0.343)
Er (0.348, 0.603, 0.867)
Er (0.762, 0.007, 0.343)
Er (0.919, 0.664, 0.657)
Er (0.019, 0.264, 0.867)
Er (0.652, 0.397, 0.133)

Results
Size of the total moment: 0.00 μB per atom
Space group: C2/c

***

Energy above the most stable structure, in eV/atom: one 0.018; two 0.000

***

one:
A relaxed structure of AcDy6Er, computed with PBE.

Unit cell a=5.083 b=5.083 c=10.152 alpha=90.00 beta=90.00 gamma=90.00
Fractional coordinates of all 8 atoms:
Ac (0.000, 0.000, 0.000)
Dy (0.500, 0.500, 0.000)
Dy (0.500, 0.500, 0.500)
Dy (0.500, 0.000, 0.259)
Dy (0.500, 0.000, 0.741)
Dy (0.000, 0.500, 0.259)
Dy (0.000, 0.500, 0.741)
Er (0.000, 0.000, 0.500)

Results
Size of the total moment: 0.00 μB per atom
Space group: P4/mmm

***

two:
A relaxed structure of AcDy6Er, computed with PBE.

Unit cell a=6.762 b=6.723 c=6.821 alpha=82.61 beta=60.50 gamma=84.11
Fractional coordinates of all 8 atoms:
Ac (0.000, 0.000, 0.000)
Dy (0.050, 0.740, 0.520)
Dy (0.550, 0.721, 0.543)
Dy (0.450, 0.279, 0.457)
Dy (0.950, 0.260, 0.480)
Dy (0.523, 0.738, 0.040)
Dy (0.477, 0.262, 0.960)
Er (0.000, 0.500, 0.000)

Results
Size of the total moment: 0.00 μB per atom
Space group: P-1

***

Energy above the most stable structure, in eV/atom: one 0.000; two 0.173

***

one:
A relaxed structure of AcDy8Er6, computed with PBE.

Unit cell a=8.192 b=8.192 c=8.192 alpha=71.94 beta=71.94 gamma=71.94
Fractional coordinates of all 15 atoms:
Ac (0.000, 0.000, 0.000)
Dy (0.239, 0.239, 0.239)
Dy (0.761, 0.761, 0.761)
Dy (0.056, 0.388, 0.858)
Dy (0.858, 0.056, 0.388)
Dy (0.388, 0.858, 0.056)
Dy (0.944, 0.612, 0.142)
Dy (0.142, 0.944, 0.612)
Dy (0.612, 0.142, 0.944)
Er (0.616, 0.433, 0.174)
Er (0.174, 0.616, 0.433)
Er (0.433, 0.174, 0.616)
Er (0.384, 0.567, 0.826)
Er (0.826, 0.384, 0.567)
Er (0.567, 0.826, 0.384)

Results
Size of the total moment: 0.00 μB per atom
Space group: R-3

***

two:
A relaxed structure of AcDy8Er6, computed with PBE.

Unit cell a=8.995 b=8.995 c=8.644 alpha=58.65 beta=58.65 gamma=60.00
Fractional coordinates of all 15 atoms:
Ac (0.000, 0.000, 0.000)
Dy (0.256, 0.282, 0.574)
Dy (0.718, 0.111, 0.426)
Dy (0.111, 0.744, 0.426)
Dy (0.577, 0.577, 0.269)
Dy (0.423, 0.423, 0.731)
Dy (0.889, 0.256, 0.574)
Dy (0.282, 0.889, 0.574)
Dy (0.744, 0.718, 0.426)
Er (0.468, 0.899, 0.877)
Er (0.101, 0.243, 0.123)
Er (0.243, 0.532, 0.123)
Er (0.757, 0.468, 0.877)
Er (0.899, 0.757, 0.877)
Er (0.532, 0.101, 0.123)

Results
Size of the total moment: 0.00 μB per atom
Space group: R-3

***

Energy above the most stable structure, in eV/atom: one 0.078; two 0.000

***

one:
A relaxed structure of AcSmDyEr, computed with PBE.

Unit cell a=5.841 b=5.841 c=5.841 alpha=60.00 beta=60.00 gamma=60.00
Fractional coordinates of all 4 atoms:
Ac (0.750, 0.750, 0.750)
Dy (0.000, 0.000, 0.000)
Sm (0.250, 0.250, 0.250)
Er (0.500, 0.500, 0.500)

Results
Size of the total moment: 0.00 μB per atom
Space group: F-43m

***

two:
A relaxed structure of AcSmDyEr, computed with PBE.

Unit cell a=3.523 b=7.022 c=5.729 alpha=90.01 beta=90.00 gamma=90.00
Fractional coordinates of all 4 atoms:
Ac (0.000, 0.456, 0.516)
Sm (0.000, 0.172, 0.016)
Dy (0.000, 0.938, 0.516)
Er (0.500, 0.715, 0.016)

Results
Size of the total moment: 0.00 μB per atom
Space group: Pmm2

***

Energy above the most stable structure, in eV/atom: one 0.000; two 0.102